# 1
The following is a DFT calculation (meta-GGA SCAN) of Cu2ReAg at its PBEsol-relaxed geometry.

Computed properties:
The calculation puts the energy of formation from the pure elements at 0.26 eV per atom. Its crystal system is tetragonal. The density of states at the Fermi level comes out at 1.570 states/eV per cell.

a b c (Å): 2.648 2.648 7.684
angles (deg): 90.00 90.00 90.00
Fractional positions:
Cu (0.000, 0.000, 0.242)
Cu (0.000, 0.000, 0.758)
Re (0.500, 0.500, 0.000)
Ag (0.500, 0.500, 0.500)

---

# 2
The following is a DFT calculation (meta-GGA SCAN) of Re2SbN at its PBEsol-relaxed geometry.

Computed properties:
Its crystal system is tetragonal. The density of states at the Fermi level comes out at 4.359 states/eV per cell. The value obtained for the uncorrected formation energy is 0.651 eV per atom.

a b c (Å): 6.966 6.966 6.966
angles (deg): 140.15 140.15 57.63
Fractional positions:
Re (0.375, 0.237, 0.362)
Re (0.763, 0.125, 0.138)
Re (0.875, 0.013, 0.638)
Re (0.987, 0.625, 0.862)
Sb (0.250, 0.750, 0.500)
Sb (0.500, 0.500, 0.000)
N (0.000, 0.000, 0.000)
N (0.750, 0.250, 0.500)

---

# 3
The following is a DFT calculation (meta-GGA SCAN) of InNiSe2 at its PBEsol-relaxed geometry.

Computed properties:
Its crystal system is orthorhombic. The density of states at the Fermi level comes out at 1.748 states/eV per cell. The value obtained for the uncorrected formation energy is 0.314 eV per atom.

a b c (Å): 4.612 4.612 3.606
angles (deg): 90.00 90.00 104.64
Fractional positions:
In (0.000, 0.000, 0.000)
Ni (0.500, 0.500, 0.000)
Se (0.000, 0.500, 0.500)
Se (0.500, 0.000, 0.500)

---

# 4
The following is a DFT calculation (meta-GGA SCAN) of Zn2TeMoO7 at its PBEsol-relaxed geometry.

Computed properties:
Its crystal system is monoclinic. The density of states at the Fermi level comes out at 0.000 states/eV per cell. The value obtained for the uncorrected formation energy is -1.695 eV per atom.

a b c (Å): 5.156 8.470 7.207
angles (deg): 90.00 100.28 90.00
Fractional positions:
Zn (0.022, 0.000, 0.257)
Zn (0.446, 0.824, 0.985)
Zn (0.554, 0.324, 0.015)
Zn (0.978, 0.500, 0.743)
Te (0.006, 0.113, 0.849)
Te (0.994, 0.613, 0.151)
Mo (0.417, 0.327, 0.486)
Mo (0.583, 0.827, 0.514)
O (0.189, 0.653, 0.954)
O (0.208, 0.303, 0.863)
O (0.213, 0.477, 0.548)
O (0.244, 0.148, 0.449)
O (0.249, 0.010, 0.044)
O (0.288, 0.805, 0.340)
O (0.494, 0.386, 0.268)
O (0.506, 0.886, 0.732)
O (0.712, 0.305, 0.660)
O (0.751, 0.510, 0.956)
O (0.756, 0.648, 0.551)
O (0.787, 0.977, 0.452)
O (0.792, 0.803, 0.137)
O (0.811, 0.153, 0.046)

---

# 5
The following is a DFT calculation (meta-GGA SCAN) of Tl2GaBi2 at its PBEsol-relaxed geometry.

Computed properties:
The calculation puts the energy of formation from the pure elements at 0.09 eV per atom. Its crystal system is tetragonal. The density of states at the Fermi level comes out at 3.311 states/eV per cell.

a b c (Å): 7.596 7.596 5.285
angles (deg): 90.00 90.00 90.00
Fractional positions:
Tl (0.167, 0.333, 0.000)
Tl (0.333, 0.833, 0.000)
Tl (0.667, 0.167, 0.000)
Tl (0.833, 0.667, 0.000)
Ga (0.000, 0.000, 0.500)
Ga (0.500, 0.500, 0.500)
Bi (0.145, 0.645, 0.500)
Bi (0.355, 0.145, 0.500)
Bi (0.645, 0.855, 0.500)
Bi (0.855, 0.355, 0.500)

---

# 6
The following is a DFT calculation (meta-GGA SCAN) of CoNi6Sb at its PBEsol-relaxed geometry.

Computed properties:
Its crystal system is orthorhombic. The density of states at the Fermi level comes out at 30.046 states/eV per cell. The value obtained for the uncorrected formation energy is -0.010 eV per atom.

a b c (Å): 6.181 6.181 10.153
angles (deg): 90.00 90.00 109.56
Fractional positions:
Co (0.000, 0.000, 0.241)
Co (0.000, 0.000, 0.759)
Co (0.252, 0.748, 0.000)
Co (0.748, 0.252, 0.000)
Ni (0.000, 0.000, 0.000)
Ni (0.000, 0.000, 0.500)
Ni (0.114, 0.370, 0.119)
Ni (0.114, 0.370, 0.881)
Ni (0.119, 0.364, 0.368)
Ni (0.119, 0.364, 0.632)
Ni (0.244, 0.756, 0.240)
Ni (0.244, 0.756, 0.760)
Ni (0.364, 0.119, 0.368)
Ni (0.364, 0.119, 0.632)
Ni (0.370, 0.114, 0.119)
Ni (0.370, 0.114, 0.881)
Ni (0.500, 0.500, 0.000)
Ni (0.500, 0.500, 0.500)
Ni (0.630, 0.886, 0.119)
Ni (0.630, 0.886, 0.881)
Ni (0.636, 0.881, 0.368)
Ni (0.636, 0.881, 0.632)
Ni (0.756, 0.244, 0.240)
Ni (0.756, 0.244, 0.760)
Ni (0.881, 0.636, 0.368)
Ni (0.881, 0.636, 0.632)
Ni (0.886, 0.630, 0.119)
Ni (0.886, 0.630, 0.881)
Sb (0.252, 0.748, 0.500)
Sb (0.500, 0.500, 0.244)
Sb (0.500, 0.500, 0.756)
Sb (0.748, 0.252, 0.500)

---

# 7
The following is a DFT calculation (meta-GGA SCAN) of BeAgPt2 at its PBEsol-relaxed geometry.

Computed properties:
The calculation puts the energy of formation from the pure elements at -0.25 eV per atom. Its crystal system is orthorhombic. The density of states at the Fermi level comes out at 1.509 states/eV per cell.

a b c (Å): 3.629 5.832 5.832
angles (deg): 27.16 90.00 90.00
Fractional positions:
Be (0.000, 0.000, 0.000)
Ag (0.500, 0.156, 0.156)
Pt (0.000, 0.795, 0.795)
Pt (0.500, 0.439, 0.439)

---

# 8
The following is a DFT calculation (meta-GGA SCAN) of Zr2CdNiS at its PBEsol-relaxed geometry.

Computed properties:
Its crystal system is tetragonal. The density of states at the Fermi level comes out at 2.604 states/eV per cell. The value obtained for the uncorrected formation energy is 0.952 eV per atom.

a b c (Å): 5.155 5.155 4.449
angles (deg): 90.00 90.00 90.00
Fractional positions:
Zr (0.000, 0.500, 0.000)
Zr (0.500, 0.000, 0.000)
Cd (0.000, 0.000, 0.000)
Ni (0.000, 0.000, 0.500)
S (0.500, 0.500, 0.500)

---

# 9
The following is a DFT calculation (meta-GGA SCAN) of Be3InCl at its PBEsol-relaxed geometry.

Computed properties:
Its crystal system is cubic. The value obtained for the uncorrected formation energy is 0.719 eV per atom.

a b c (Å): 4.606 4.606 4.606
angles (deg): 90.00 90.00 90.00
Fractional positions:
Be (0.000, 0.000, 0.500)
Be (0.000, 0.500, 0.000)
Be (0.500, 0.000, 0.000)
In (0.000, 0.000, 0.000)
Cl (0.500, 0.500, 0.500)

---

# 10
The following is a DFT calculation (meta-GGA SCAN) of Ta2CrAg at its PBEsol-relaxed geometry.

Computed properties:
The calculation puts the energy of formation from the pure elements at 0.35 eV per atom. Its crystal system is cubic. The density of states at the Fermi level comes out at 1.749 states/eV per cell.

a b c (Å): 4.490 4.490 4.490
angles (deg): 60.00 60.00 60.00
Fractional positions:
Ta (0.000, 0.000, 0.000)
Ta (0.250, 0.250, 0.250)
Cr (0.750, 0.750, 0.750)
Ag (0.500, 0.500, 0.500)

---

Number 1: DFT total energy -32.9568 eV per atom, total moment 0.000 μB/cell. Number 2: DFT total energy -46.5359 eV per atom, total moment 0.000 μB/cell. Number 3: DFT total energy -22.1149 eV per atom, total moment 1.009 μB/cell. Number 4: DFT total energy -14.6757 eV per atom, total moment 0.000 μB/cell. Number 5: DFT total energy -63.5495 eV per atom, total moment 0.000 μB/cell. Number 6: DFT total energy -18.9601 eV per atom, total moment 19.579 μB/cell. Number 7: DFT total energy -44.2802 eV per atom, total moment 0.000 μB/cell. Number 8: DFT total energy -22.5703 eV per atom, total moment 0.000 μB/cell. Number 9: DFT total energy -10.1656 eV per atom, total moment 0.000 μB/cell. Number 10: DFT total energy -45.3789 eV per atom, total moment 1.021 μB/cell.